Entry from Alexandria: a relaxed structure of Np2Co3Ge4Pd (GGA-PBE).

abc: 4.076 4.076 9.896
angles: 90.00 90.00 90.00
Fractional positions:
1 Np 0.000 0.500 0.238
2 Np 0.500 0.000 0.762
3 Co 0.000 0.500 0.874
4 Co 0.500 0.000 0.126
5 Co 0.500 0.500 0.500
6 Ge 0.000 0.000 0.000
7 Ge 0.000 0.500 0.641
8 Ge 0.500 0.000 0.359
9 Ge 0.500 0.500 0.000
10 Pd 0.000 0.000 0.500

Values from the calculation:
Theoretical density   10.6 g/cm³
Formation energy   -304 kJ/mol of formula units
Calculated total energy   -74.0 eV per cell